(1)
Below is a relaxed V3MoW6 crystal, with properties calculated at the GGA-PBE level.

Calculated values
energy above the lowest structure with this stoichiometry	410	meV per atom
ΔH_f (0 K)	0.33	eV per atom
raw total energy	-225.28	eV for the cell shown

abc: 3.068 9.506 11.687
angles: 111.36 90.00 90.00
Fractional coordinates of all 20 atoms:
V: 0.750 0.419 0.901
V: 0.250 0.581 0.099
V: 0.750 0.637 0.517
V: 0.250 0.363 0.483
V: 0.750 0.072 0.090
V: 0.250 0.928 0.910
Mo: 0.750 0.062 0.744
Mo: 0.250 0.938 0.256
W: 0.750 0.479 0.665
W: 0.250 0.521 0.335
W: 0.750 0.782 0.051
W: 0.250 0.218 0.949
W: 0.750 0.379 0.141
W: 0.250 0.621 0.859
W: 0.750 0.744 0.307
W: 0.250 0.256 0.693
W: 0.750 0.113 0.477
W: 0.250 0.887 0.523
W: 0.750 0.784 0.728
W: 0.250 0.216 0.272



(2)
Below is a relaxed V2Mo2W3 crystal, with properties calculated at the GGA-PBE level.

Calculated values
energy above the lowest structure with this stoichiometry	7	meV per atom
ΔH_f (0 K)	-0.09	eV per atom
raw total energy	-79.41	eV for the cell shown

abc: 3.132 5.199 6.962
angles: 97.42 90.01 107.43
Fractional coordinates of all 7 atoms:
V: 0.143 0.285 0.431
V: 0.857 0.715 0.569
Mo: 0.429 0.859 0.291
Mo: 0.571 0.141 0.709
W: 0.000 0.000 0.000
W: 0.284 0.569 0.851
W: 0.716 0.431 0.149